1.
VASP calculation (PBE) on crystalline Ho5Tm6Pu2 at its relaxed geometry.

Geometry as POSCAR:
```
Ho5Tm6Pu2
1.0
11.4254 0.0000 0.0000
0.0000 19.9505 0.0000
0.0000 0.0000 3.4877
Ho Tm Pu
10 12 4
Direct
0.0000 0.0000 0.0000
0.0781 0.2717 0.0000
0.1973 0.5512 0.0000
0.3027 0.0512 0.0000
0.4219 0.7717 0.0000
0.5000 0.5000 0.0000
0.5781 0.2283 0.0000
0.6973 0.9488 0.0000
0.8027 0.4488 0.0000
0.9219 0.7283 0.0000
0.0620 0.4189 0.5000
0.0829 0.1306 0.5000
0.1733 0.8585 0.0000
0.3267 0.3585 0.0000
0.4171 0.6306 0.5000
0.4380 0.9189 0.5000
0.5620 0.0811 0.5000
0.5829 0.3694 0.5000
0.6733 0.6415 0.0000
0.8267 0.1415 0.0000
0.9171 0.8694 0.5000
0.9380 0.5811 0.5000
0.1723 0.7060 0.5000
0.3277 0.2060 0.5000
0.6723 0.7940 0.5000
0.8277 0.2940 0.5000
```

---

2.
VASP calculation (PBE) on crystalline CdCu2W at its relaxed geometry.

Geometry as POSCAR:
```
CdCu2W
1.0
2.7839 0.0000 0.0000
-1.3920 2.4110 0.0000
0.0000 0.0000 27.4940
Cd Cu W
3 6 3
Direct
0.0000 0.0000 0.0000
0.3333 0.6667 0.6667
0.6667 0.3333 0.3333
0.0000 0.0000 0.2465
0.0000 0.0000 0.7535
0.3333 0.6667 0.4202
0.3333 0.6667 0.9132
0.6667 0.3333 0.0868
0.6667 0.3333 0.5798
0.0000 0.0000 0.5000
0.3333 0.6667 0.1667
0.6667 0.3333 0.8333
```

---

3.
VASP calculation (PBE) on crystalline Cr2AsIr at its relaxed geometry.

Geometry as POSCAR:
```
Cr2AsIr
1.0
3.7163 0.0000 0.0000
0.0000 3.7163 0.0000
0.0000 0.0000 7.7746
Cr As Ir
4 2 2
Direct
0.0000 0.0000 0.0000
0.0000 0.5000 0.2500
0.5000 0.0000 0.7500
0.5000 0.5000 0.5000
0.0000 0.0000 0.5000
0.5000 0.5000 0.0000
0.0000 0.5000 0.7500
0.5000 0.0000 0.2500
```

---

| no. | electronic total energy (eV/cell) | total magnetic moment (μB per formula unit) | formation energy (eV/atom) |
| --- | --- | --- | --- |
| 1 | -152.6 | 12.4 | 0.16 |
| 2 | -62.6 | 0.0 | 0.30 |
| 3 | -64.7 | 2.7 | 0.10 |